[1]
## CrRuN (GGA-PBE)

Data for an optimized crystal structure of CrRuN. Values from VASP.

Quantum ESPRESSO input file:
```
&SYSTEM
  ibrav = 0, nat = 6, ntyp = 3
/
ATOMIC_SPECIES
Cr 52.00 Cr.upf
Ru 101.07 Ru.upf
N 14.01 N.upf
CELL_PARAMETERS angstrom
2.6716 0.0000 0.0000
0.0000 2.6452 0.0000
0.0000 0.0000 8.6995
ATOMIC_POSITIONS crystal
Cr 0.5000 0.0000 0.4578
Cr 0.5000 0.5000 0.9578
Ru 0.0000 0.0000 0.7327
Ru 0.0000 0.5000 0.2327
N 0.0000 0.0000 0.0392
N 0.0000 0.5000 0.5392
```

Results
polymorph energy (0 for the lowest one) = 67 meV per atom
total DFT energy (no corrections) = -9.14 eV/atom

[2]
## Mg2CdB (GGA-PBE)

Data for an optimized crystal structure of Mg2CdB. Values from VASP.

Quantum ESPRESSO input file:
```
&SYSTEM
  ibrav = 0, nat = 8, ntyp = 3
/
ATOMIC_SPECIES
Mg 24.30 Mg.upf
B 10.81 B.upf
Cd 112.41 Cd.upf
CELL_PARAMETERS angstrom
-1.5587 3.7630 3.5047
-3.3115 -3.5363 2.3241
2.5867 -1.7832 7.1842
ATOMIC_POSITIONS crystal
Mg 0.4900 0.1250 0.2500
Mg 0.2600 0.6250 0.2500
Mg 0.3750 0.5100 0.7500
Mg 0.8750 0.7400 0.7500
B 0.5000 0.5000 0.0000
B 0.2500 0.7500 0.5000
Cd 0.0000 0.0000 0.0000
Cd 0.7500 0.2500 0.5000
```

Results
calculated formation energy = 779 meV per atom
polymorph energy (0 for the lowest one) = 223 meV per atom
total DFT energy (no corrections) = -1.92 eV/atom

[3]
## PmDy2Y8 (GGA-PBE)

Data for an optimized crystal structure of PmDy2Y8. Values from VASP.

Quantum ESPRESSO input file:
```
&SYSTEM
  ibrav = 0, nat = 11, ntyp = 3
/
ATOMIC_SPECIES
Pm 145.00 Pm.upf
Dy 162.50 Dy.upf
Y 88.91 Y.upf
CELL_PARAMETERS angstrom
5.5514 -0.4528 -0.3163
0.4623 9.8415 2.6130
0.4623 5.8403 8.3411
ATOMIC_POSITIONS crystal
Pm 0.0000 0.0000 0.0000
Dy 0.7506 0.2843 0.2843
Dy 0.2494 0.7157 0.7157
Y 0.2685 0.1329 0.6012
Y 0.2685 0.6012 0.1329
Y 0.7315 0.8671 0.3988
Y 0.2365 0.5472 0.5472
Y 0.7315 0.3988 0.8671
Y 0.2335 0.1882 0.1882
Y 0.7665 0.8118 0.8118
Y 0.7635 0.4528 0.4528
```

Results
calculated formation energy = 149 meV per atom
polymorph energy (0 for the lowest one) = 0 meV per atom
total DFT energy (no corrections) = -5.82 eV/atom

[4]
## TeIrOsPb (GGA-PBE)

Data for an optimized crystal structure of TeIrOsPb. Values from VASP.

Quantum ESPRESSO input file:
```
&SYSTEM
  ibrav = 0, nat = 8, ntyp = 4
/
ATOMIC_SPECIES
Pb 207.20 Pb.upf
Te 127.60 Te.upf
Ir 192.22 Ir.upf
Os 190.23 Os.upf
CELL_PARAMETERS angstrom
-2.5871 2.7247 -0.2595
-2.5305 -2.1854 2.2818
3.9990 4.6431 8.8815
ATOMIC_POSITIONS crystal
Pb 0.5000 0.0000 0.2508
Pb 0.5000 0.5000 0.7508
Te 0.0000 0.0000 0.9442
Te 0.0000 0.5000 0.4442
Ir 0.0000 0.0000 0.6819
Ir 0.0000 0.5000 0.1819
Os 0.5000 0.0000 0.5219
Os 0.5000 0.5000 0.0219
```

Results
polymorph energy (0 for the lowest one) = 200 meV per atom
total DFT energy (no corrections) = -6.20 eV/atom

[5]
## YH2O (GGA-PBE)

Data for an optimized crystal structure of YH2O. Values from VASP.

Quantum ESPRESSO input file:
```
&SYSTEM
  ibrav = 0, nat = 16, ntyp = 3
/
ATOMIC_SPECIES
Y 88.91 Y.upf
H 1.01 H.upf
O 16.00 O.upf
CELL_PARAMETERS angstrom
8.4125 0.0000 0.0000
0.0000 3.6637 0.0000
-1.6192 0.0000 6.1359
ATOMIC_POSITIONS crystal
Y 0.1600 0.0000 0.1746
Y 0.1600 0.5000 0.6746
Y 0.7847 0.0000 0.3808
Y 0.7847 0.5000 0.8808
H 0.0578 0.0000 0.4733
H 0.0578 0.5000 0.9733
H 0.5159 0.0000 0.6245
H 0.5159 0.5000 0.1245
H 0.3181 0.0000 0.5614
H 0.3181 0.5000 0.0614
H 0.1651 0.0000 0.8430
H 0.1651 0.5000 0.3430
O 0.6384 0.0000 0.6646
O 0.6384 0.5000 0.1646
O 0.8827 0.0000 0.0808
O 0.8827 0.5000 0.5808
```

Results
polymorph energy (0 for the lowest one) = 7 meV per atom
total DFT energy (no corrections) = -6.14 eV/atom

[6]
## Be3SiH (GGA-PBE)

Data for an optimized crystal structure of Be3SiH. Values from VASP.

Quantum ESPRESSO input file:
```
&SYSTEM
  ibrav = 0, nat = 5, ntyp = 3
/
ATOMIC_SPECIES
Be 9.01 Be.upf
Si 28.09 Si.upf
H 1.01 H.upf
CELL_PARAMETERS angstrom
3.4854 0.0000 0.0000
0.0000 3.4854 0.0000
0.0000 0.0000 3.4854
ATOMIC_POSITIONS crystal
Be 0.0000 0.5000 0.0000
Be 0.0000 0.0000 0.5000
Be 0.5000 0.0000 0.0000
Si 0.5000 0.5000 0.5000
H 0.0000 0.0000 0.0000
```

Results
polymorph energy (0 for the lowest one) = 0 meV per atom
total DFT energy (no corrections) = -3.61 eV/atom

[7]
## ErNiH3 (GGA-PBE)

Data for an optimized crystal structure of ErNiH3. Values from VASP.

Quantum ESPRESSO input file:
```
&SYSTEM
  ibrav = 0, nat = 5, ntyp = 3
/
ATOMIC_SPECIES
Ni 58.69 Ni.upf
H 1.01 H.upf
Er 167.26 Er.upf
CELL_PARAMETERS angstrom
-3.3681 0.9256 -0.0866
-0.9259 -3.3112 0.6216
0.0826 0.6221 3.4372
ATOMIC_POSITIONS crystal
Ni 0.0000 0.0000 0.0000
H 0.0000 0.5000 0.0000
H 0.0000 0.0000 0.5000
H 0.5000 0.0000 0.0000
Er 0.5000 0.5000 0.5000
```

Results
total DFT energy (no corrections) = -4.55 eV/atom

[8]
## DyOsI (GGA-PBE)

Data for an optimized crystal structure of DyOsI. Values from VASP.

Quantum ESPRESSO input file:
```
&SYSTEM
  ibrav = 0, nat = 6, ntyp = 3
/
ATOMIC_SPECIES
Dy 162.50 Dy.upf
I 126.90 I.upf
Os 190.23 Os.upf
CELL_PARAMETERS angstrom
4.2203 0.0000 0.0000
2.1102 3.6549 0.0000
2.1102 1.2183 12.1332
ATOMIC_POSITIONS crystal
Dy 0.5540 0.5540 0.3380
Dy 0.4460 0.4460 0.6620
I 0.2778 0.2778 0.1665
I 0.7222 0.7222 0.8335
Os 0.8362 0.8362 0.4914
Os 0.1638 0.1638 0.5086
```

Results
total DFT energy (no corrections) = -6.57 eV/atom

[9]
## KSr3Pb (GGA-PBE)

Data for an optimized crystal structure of KSr3Pb. Values from VASP.

Quantum ESPRESSO input file:
```
&SYSTEM
  ibrav = 0, nat = 5, ntyp = 3
/
ATOMIC_SPECIES
Pb 207.20 Pb.upf
Sr 87.62 Sr.upf
K 39.10 K.upf
CELL_PARAMETERS angstrom
-3.9322 5.1740 0.5442
-1.2191 -1.5795 6.2087
5.0576 3.6419 1.9197
ATOMIC_POSITIONS crystal
Pb 0.5000 0.5000 0.5000
Sr 0.0000 0.5000 0.0000
Sr 0.0000 0.0000 0.5000
Sr 0.5000 0.0000 0.0000
K 0.0000 0.0000 0.0000
```

Results
calculated formation energy = 710 meV per atom
polymorph energy (0 for the lowest one) = 858 meV per atom
total DFT energy (no corrections) = -1.26 eV/atom

[10]
## VInTc3 (GGA-PBE)

Data for an optimized crystal structure of VInTc3. Values from VASP.

Quantum ESPRESSO input file:
```
&SYSTEM
  ibrav = 0, nat = 5, ntyp = 3
/
ATOMIC_SPECIES
In 114.82 In.upf
Tc 98.00 Tc.upf
V 50.94 V.upf
CELL_PARAMETERS angstrom
4.5131 0.0000 0.0000
0.0000 4.5131 0.0000
0.0000 0.0000 4.5131
ATOMIC_POSITIONS crystal
In 0.5000 0.5000 0.5000
Tc 0.0000 0.5000 0.0000
Tc 0.0000 0.0000 0.5000
Tc 0.5000 0.0000 0.0000
V 0.0000 0.0000 0.0000
```

Results
calculated formation energy = 1032 meV per atom
polymorph energy (0 for the lowest one) = 0 meV per atom
total DFT energy (no corrections) = -7.56 eV/atom